#1
Entry from Alexandria via LeMat-Bulk: a geometry-optimized Tb2Dy5Mg structure (GGA-PBE).

a = 3.6529 Å, b = 16.1264 Å, c = 8.3487 Å
α = 90.00°, β = 90.13°, γ = 90.00°
Space group P2_1/m (No. 11)
Inequivalent atoms, fractional coordinates:
Tb 0.0014 0.0221 0.2091 [4 per cell]
Dy 0.9999 0.2500 0.2562 [2 per cell]
Dy 0.4992 0.6446 0.0581 [4 per cell]
Dy 0.5000 0.1105 0.5169 [4 per cell]
Mg 0.0001 0.2500 0.6851 [2 per cell]


#2
Entry from Alexandria via LeMat-Bulk: a geometry-optimized Tb2Dy5Mg structure (GGA-PBE).

a = 7.0067 Å, b = 7.0067 Å, c = 9.9338 Å
α = 90.00°, β = 90.00°, γ = 90.00°
Space group I4/mmm (No. 139)
Inequivalent atoms, fractional coordinates:
Tb 0.0000 0.5000 0.0000 [4 per cell]
Dy 0.0000 0.0000 0.0000 [2 per cell]
Dy 0.2500 0.2500 0.2500 [8 per cell]
Mg 0.0000 0.0000 0.5000 [2 per cell]


Best to worst by energy: #1, #2.